# 1
Th6As3CS2 | PBE | relaxed

The uncorrected formation energy comes out at -1362.7 meV per atom. The raw total energy is -7.692 eV/atom. The density of states at the Fermi level is 6.45 states/eV/f.u.

The structure belongs to space group C2/m (No. 12); the cell edges are 17.917, 4.082 and 8.294 Å and the angles 90.00°, 103.33° and 90.00°. Symmetry generates all atoms from Th at (0.001, 0.000, 0.220), Th at (0.153, 0.500, 0.082), Th at (0.169, 0.500, 0.576), As at (0.000, 0.500, 0.500), As at (0.171, 0.000, 0.835), C at (0.000, 0.500, 0.000) and S at (0.165, 0.000, 0.330).

***

# 2
Th4AsCS2 | PBE | relaxed

The uncorrected formation energy comes out at -1354.1 meV per atom. The raw total energy is -7.830 eV/atom. The density of states at the Fermi level is 4.12 states/eV/f.u.

The structure belongs to space group P2/m (No. 10); the cell edges are 6.993, 3.999 and 7.110 Å and the angles 90.00°, 108.82° and 90.00°. Symmetry generates all atoms from Th at (0.225, 0.000, 0.218), Th at (0.242, 0.500, 0.773), As at (0.000, 0.000, 0.500), C at (0.000, 0.500, 0.000), S at (0.500, 0.000, 0.000) and S at (0.500, 0.500, 0.500).

***

# 3
Th6As2C3S | PBE | relaxed

The uncorrected formation energy comes out at -958.1 meV per atom. The raw total energy is -8.093 eV/atom. The density of states at the Fermi level is 5.66 states/eV/f.u.

The structure belongs to space group C2/m (No. 12); the cell edges are 17.670, 3.921 and 8.159 Å and the angles 90.00°, 106.55° and 90.00°. Symmetry generates all atoms from Th at (0.009, 0.000, 0.229), Th at (0.158, 0.500, 0.105), Th at (0.174, 0.500, 0.560), As at (0.166, 0.000, 0.832), C at (0.000, 0.500, 0.000), C at (0.166, 0.000, 0.337) and S at (0.000, 0.500, 0.500).